This record from Alexandria describes a relaxed LiCo2IrO6 crystal. The functional is PBE+U.

a = 5.085 Å, b = 5.133 Å, c = 5.419 Å
α = 63.18°, β = 62.89°, γ = 58.69°
Site moments in Bohr magnetons follow the coordinates.
Sites, in units of the cell vectors:
Li 0.793 0.804 0.591  -0.01
Co 0.526 0.526 0.428  2.44
Co 0.007 0.017 0.971  1.85
Ir 0.320 0.325 0.028  -1.25
O 0.607 0.224 0.237  -0.15
O 0.240 0.931 0.224  -0.16
O 0.930 0.593 0.246  -0.19
O 0.387 0.725 0.769  -0.08
O 0.733 0.121 0.760  -0.18
O 0.119 0.395 0.760  -0.11

Properties
The energy is -60.384 eV/cell.